1.
DFT (PBE) results for crystalline LaP2SN at its relaxed geometry.

distance to the lowest polymorph of the same formula	7.66	eV per formula unit
energy relative to the elements, uncorrected	7.654	eV/f.u.
SG	P4/mmm (123)

abc: 5.9091 5.9091 5.4987
angles: 90.00 90.00 90.00
Site moments in Bohr magnetons follow the coordinates.
Atoms (fractional coordinates):
N  0.5000  0.5000  0.5000  1.92
P  0.0000  0.5000  0.0000  0.75
P  0.5000  0.0000  0.0000  0.75
La  0.0000  0.0000  0.0000  0.11
S  0.0000  0.0000  0.5000  0.04



2.
DFT (PBE) results for crystalline SrLa2Pt at its relaxed geometry.

calculated formation energy	-0.57	eV/atom
distance to the lowest polymorph of the same formula	0.00	eV per formula unit
SG	R3m (160)

abc: 4.2947 4.2947 10.2829
angles: 77.95 77.95 60.00
Atoms (fractional coordinates):
La  0.2806  0.2806  0.1582
La  0.0519  0.0519  0.8443
Sr  0.5014  0.5014  0.4958
Pt  0.6661  0.6661  0.0018



3.
DFT (PBE) results for crystalline MnCo4Cl at its relaxed geometry.

energy relative to the elements, uncorrected	3.394	eV/f.u.
SG	F-43m (216)

abc: 4.8447 4.8447 4.8447
angles: 60.00 60.00 60.00
Site moments in Bohr magnetons follow the coordinates.
Atoms (fractional coordinates):
Co  0.3760  0.8720  0.3760  1.79
Co  0.8720  0.3760  0.3760  1.79
Co  0.3760  0.3760  0.8720  1.79
Co  0.3760  0.3760  0.3760  1.79
Cl  0.0000  0.0000  0.0000  0.17
Mn  0.7500  0.7500  0.7500  3.71



Number 1: D(E_F) 5.97 states/eV per cell, total magnetization 1.34 μB/atom. Number 2: D(E_F) 4.97 states/eV per cell, total magnetization 0.00 μB/atom. Number 3: D(E_F) 6.73 states/eV per cell, total magnetization 1.84 μB/atom.